# SnBRh3

A geometry-optimized SnBRh3 structure (PBE, the Alexandria database).

Summary:
Symmetry: Imma
DFT formation energy: -1.5 eV per formula unit

Cell lengths 18.479, 8.720, 8.720 Å; angles 152.55, 161.26, 18.74 degrees
Sites, in units of the cell vectors:
Rh 0.941 0.368 0.632
B 0.930 0.890 0.110
Rh 0.059 0.632 0.368
Rh 0.804 0.142 0.858
Rh 0.426 0.397 0.603
Rh 0.196 0.858 0.142
Sn 0.678 0.895 0.105
B 0.070 0.110 0.890
Sn 0.322 0.105 0.895
Rh 0.574 0.603 0.397